<A>
First-principles (GGA-PBE) data for an optimized crystal structure of Co2OsCl, as listed in Alexandria.

Structure (extended XYZ):
```
4
Lattice="5.8495 0.0064 0.0205 -2.3034 4.0019 -0.0012 1.2428 0.7160 2.2944" Properties=species:S:1:pos:R:3 pbc="T T T"
Co 0.0000 0.0000 0.0000
Co 3.5462 0.3612 1.1575
Cl 1.7731 2.0041 0.0097
Os -0.5303 2.3589 1.1466
```

- Size of the total moment: 3.9 μB/f.u.
- V: 53.6 Å³ per cell

<B>
First-principles (GGA-PBE) data for an optimized crystal structure of Co2OsCl, as listed in Alexandria.

Structure (extended XYZ):
```
4
Lattice="4.4095 0.0000 0.0000 0.9450 4.3071 0.0000 -2.6773 -2.1535 2.7638" Properties=species:S:1:pos:R:3 pbc="T T T"
Cl 2.2048 0.0000 1.3819
Os 0.4725 2.1535 1.3819
Co 0.0000 0.0000 0.0000
Co 2.6773 2.1535 0.0000
```

- Size of the total moment: 2.1 μB/f.u.
- V: 52.5 Å³ per cell

<C>
First-principles (GGA-PBE) data for an optimized crystal structure of Co2OsCl, as listed in Alexandria.

Structure (extended XYZ):
```
4
Lattice="4.1944 -0.0060 0.0339 3.3430 2.5334 0.0339 3.7322 1.2515 6.1442" Properties=species:S:1:pos:R:3 pbc="T T T"
Co 10.4770 3.5131 5.7464
Co 6.4275 2.1552 3.5716
Os 8.4522 2.8341 4.6590
Cl 2.8174 0.9447 1.5530
```

- Size of the total moment: 2.4 μB/f.u.
- V: 65.1 Å³ per cell

Top of the stability list: <C>, leading by 247 meV per atom.

<A>
First-principles (GGA-PBE) data for an optimized crystal structure of Co2OsCl, as listed in Alexandria.

Structure (extended XYZ):
```
4
Lattice="-1.7872 -1.8631 -0.7445 0.5165 0.3432 2.6144 -7.2399 6.7264 0.5472" Properties=species:S:1:pos:R:3 pbc="T T T"
Cl -6.6278 4.8075 1.3879
Co -0.1430 0.1328 0.0108
Co -2.2252 0.7171 1.0551
Os -3.1346 2.9123 0.2369
```

- Size of the total moment: 4.0 μB/f.u.
- V: 62.4 Å³ per cell

<B>
First-principles (GGA-PBE) data for an optimized crystal structure of Co2OsCl, as listed in Alexandria.

Structure (extended XYZ):
```
4
Lattice="-5.3278 2.7441 -5.7212 -6.3479 0.1974 -5.3210 -7.0911 2.2691 -3.6352" Properties=species:S:1:pos:R:3 pbc="T T T"
Cl -13.8619 3.8487 -10.8412
Co -4.7626 1.3223 -3.7248
Co -18.7632 5.2095 -14.6745
Os -9.5294 2.6458 -7.4529
```

- Size of the total moment: 3.4 μB/f.u.
- V: 54.1 Å³ per cell

Top of the stability list: <B>, leading by 135 meV per atom.

<A>
First-principles (GGA-PBE) data for an optimized crystal structure of Co2OsCl, as listed in Alexandria.

Structure (extended XYZ):
```
4
Lattice="-6.1935 -4.3681 -2.4444 -4.0911 -5.8443 -3.5386 -4.8505 -6.2535 -0.8829" Properties=species:S:1:pos:R:3 pbc="T T T"
Cl -11.3513 -12.3494 -5.1494
Co -7.5320 -8.1943 -3.4168
Co -0.0355 -0.0386 -0.0161
Os -3.7838 -4.1165 -1.7165
```

- Size of the total moment: 3.1 μB/f.u.
- V: 52.7 Å³ per cell

<B>
First-principles (GGA-PBE) data for an optimized crystal structure of Co2OsCl, as listed in Alexandria.

Structure (extended XYZ):
```
4
Lattice="2.7401 0.0000 0.0000 0.0000 2.7720 -0.0249 0.0000 0.0671 7.1716" Properties=species:S:1:pos:R:3 pbc="T T T"
Co 0.0000 2.1105 3.4216
Co 0.0000 2.0811 0.1268
Os 1.3701 0.7098 1.7867
Cl 1.3701 2.1293 5.3600
```

- Size of the total moment: 1.3 μB/f.u.
- V: 54.5 Å³ per cell

<C>
First-principles (GGA-PBE) data for an optimized crystal structure of Co2OsCl, as listed in Alexandria.

Structure (extended XYZ):
```
4
Lattice="-1.1421 0.2198 -4.9806 3.4428 -1.7149 -3.3712 -3.1382 -0.9336 3.9293" Properties=species:S:1:pos:R:3 pbc="T T T"
Os 1.1695 -0.7600 -4.2453
Cl -1.5746 -0.7244 -2.5786
Co 0.7330 -1.7016 -1.8290
Co 2.2857 -1.4854 -8.2974
```

- Size of the total moment: 3.9 μB/f.u.
- V: 53.5 Å³ per cell

Top of the stability list: <B>, leading by 46 meV per atom.